Arrangement one

Entry from the Alexandria database: a relaxed structure of Tl6Cd2Bi (PBE-GGA).

Unit cell a=3.506 b=3.506 c=25.135 alpha=90.00 beta=90.00 gamma=120.00
Atoms (fractional coordinates):
Bi: 0.333 0.667 0.000
Cd: 0.667 0.333 0.334
Tl: 0.333 0.667 0.232
Tl: 0.333 0.667 0.563
Cd: 0.667 0.333 0.666
Tl: 0.333 0.667 0.437
Tl: 0.667 0.333 0.885
Tl: 0.667 0.333 0.115
Tl: 0.333 0.667 0.768

Properties
Volume in A^3/atom: 29.72
DOS at the Fermi energy in states/eV/cell: 4.6

Arrangement two

Entry from the Alexandria database: a relaxed structure of Tl6Cd2Bi (PBE-GGA).

Unit cell a=4.450 b=8.738 c=7.760 alpha=85.45 beta=71.83 gamma=75.25
Atoms (fractional coordinates):
Tl: 0.981 0.343 0.177
Tl: 0.019 0.657 0.823
Cd: 0.324 0.352 0.500
Bi: 0.000 0.000 0.000
Tl: 0.646 0.000 0.671
Tl: 0.324 0.657 0.177
Tl: 0.676 0.343 0.823
Cd: 0.676 0.648 0.500
Tl: 0.354 0.000 0.329

Properties
Volume in A^3/atom: 30.80
DOS at the Fermi energy in states/eV/cell: 4.7

Structures ranked by computed energy, the most stable listed first: arrangement one, arrangement two.

Arrangement one

Entry from the Alexandria database: a relaxed structure of TlCd3Bi (PBE-GGA).

Unit cell a=6.830 b=6.830 c=6.830 alpha=77.46 beta=77.46 gamma=77.46
Atoms (fractional coordinates):
Tl: 0.727 0.727 0.727
Tl: 0.227 0.227 0.227
Cd: 0.289 0.587 0.898
Cd: 0.398 0.087 0.789
Bi: 0.470 0.470 0.470
Cd: 0.087 0.789 0.398
Cd: 0.898 0.289 0.587
Cd: 0.789 0.398 0.087
Bi: 0.970 0.970 0.970
Cd: 0.587 0.898 0.289

Properties
Volume in A^3/atom: 29.87
DOS at the Fermi energy in states/eV/cell: 5.9

Arrangement two

Entry from the Alexandria database: a relaxed structure of TlCd3Bi (PBE-GGA).

Unit cell a=5.814 b=5.814 c=5.814 alpha=90.00 beta=90.00 gamma=90.00
Atoms (fractional coordinates):
Cd: 0.500 0.000 0.000
Tl: 0.500 0.500 0.500
Bi: 0.000 0.000 0.000
Cd: 0.000 0.000 0.500
Cd: 0.000 0.500 0.000

Properties
Volume in A^3/atom: 39.30
DOS at the Fermi energy in states/eV/cell: 2.8

Structures ranked by computed energy, the most stable listed first: arrangement one, arrangement two.

Arrangement one

Entry from the Alexandria database: a relaxed structure of Tm4CdBi (PBE-GGA).

Unit cell a=9.894 b=9.894 c=9.894 alpha=60.00 beta=60.00 gamma=60.00
Atoms (fractional coordinates):
Tm: 0.939 0.561 0.939
Cd: 0.519 0.160 0.160
Tm: 0.939 0.561 0.561
Tm: 0.872 0.376 0.376
Tm: 0.376 0.376 0.376
Bi: 0.598 0.598 0.598
Tm: 0.376 0.376 0.872
Tm: 0.817 0.183 0.817
Tm: 0.183 0.183 0.817
Cd: 0.160 0.160 0.519
Tm: 0.817 0.817 0.183
Tm: 0.939 0.939 0.561
Tm: 0.183 0.817 0.183
Cd: 0.160 0.160 0.160
Cd: 0.160 0.519 0.160
Tm: 0.561 0.939 0.561
Tm: 0.817 0.183 0.183
Bi: 0.598 0.207 0.598
Bi: 0.598 0.598 0.207
Tm: 0.183 0.817 0.817
Tm: 0.561 0.939 0.939
Tm: 0.561 0.561 0.939
Bi: 0.207 0.598 0.598
Tm: 0.376 0.872 0.376

Properties
Volume in A^3/atom: 28.54
DOS at the Fermi energy in states/eV/cell: 18.6

Arrangement two

Entry from the Alexandria database: a relaxed structure of Tm4CdBi (PBE-GGA).

Unit cell a=5.582 b=6.405 c=10.830 alpha=90.00 beta=104.93 gamma=90.00
Atoms (fractional coordinates):
Tm: 0.293 0.070 0.585
Cd: 0.422 0.323 0.843
Tm: 0.437 0.823 0.875
Bi: 0.850 0.822 0.700
Tm: 0.563 0.323 0.125
Cd: 0.578 0.823 0.157
Tm: 0.293 0.574 0.586
Tm: 0.134 0.822 0.267
Bi: 0.150 0.322 0.300
Tm: 0.707 0.074 0.414
Tm: 0.707 0.570 0.415
Tm: 0.866 0.322 0.733

Properties
Volume in A^3/atom: 31.18
DOS at the Fermi energy in states/eV/cell: 13.6

Structures ranked by computed energy, the most stable listed first: arrangement one, arrangement two.

Arrangement one

Entry from the Alexandria database: a relaxed structure of VCd3Bi (PBE-GGA).

Unit cell a=5.277 b=5.277 c=5.277 alpha=90.00 beta=90.00 gamma=90.00
Atoms (fractional coordinates):
Bi: 0.500 0.500 0.500
Cd: 0.000 0.500 0.000
V: 0.000 0.000 0.000
Cd: 0.000 0.000 0.500
Cd: 0.500 0.000 0.000

Properties
Volume in A^3/atom: 29.39
DOS at the Fermi energy in states/eV/cell: 5.2

Arrangement two

Entry from the Alexandria database: a relaxed structure of VCd3Bi (PBE-GGA).

Unit cell a=5.760 b=5.760 c=5.760 alpha=90.00 beta=90.00 gamma=90.00
Atoms (fractional coordinates):
Bi: 0.000 0.000 0.000
Cd: 0.000 0.000 0.500
Cd: 0.500 0.000 0.000
Cd: 0.000 0.500 0.000
V: 0.500 0.500 0.500

Properties
Volume in A^3/atom: 38.22
DOS at the Fermi energy in states/eV/cell: 10.3

Structures ranked by computed energy, the most stable listed first: arrangement one, arrangement two.

Arrangement one

Entry from the Alexandria database: a relaxed structure of V2CdBi (PBE-GGA).

Unit cell a=4.872 b=4.872 c=4.872 alpha=60.00 beta=60.00 gamma=60.00
Atoms (fractional coordinates):
Bi: 0.500 0.500 0.500
Cd: 0.000 0.000 0.000
V: 0.250 0.250 0.250
V: 0.750 0.750 0.750

Properties
Volume in A^3/atom: 20.45
DOS at the Fermi energy in states/eV/cell: 4.6

Arrangement two

Entry from the Alexandria database: a relaxed structure of V2CdBi (PBE-GGA).

Unit cell a=4.364 b=4.364 c=10.245 alpha=77.70 beta=77.70 gamma=90.00
Atoms (fractional coordinates):
V: 0.875 0.835 0.750
Bi: 0.000 0.000 0.000
Bi: 0.750 0.250 0.500
V: 0.165 0.625 0.250
Cd: 0.500 0.500 0.000
V: 0.585 0.125 0.250
Cd: 0.250 0.750 0.500
V: 0.375 0.415 0.750

Properties
Volume in A^3/atom: 23.26
DOS at the Fermi energy in states/eV/cell: 12.6

Structures ranked by computed energy, the most stable listed first: arrangement one, arrangement two.

Arrangement one

Entry from the Alexandria database: a relaxed structure of Cd3BiW (PBE-GGA).

Unit cell a=5.728 b=5.728 c=5.728 alpha=90.00 beta=90.00 gamma=90.00
Atoms (fractional coordinates):
W: 0.500 0.500 0.500
Cd: 0.000 0.500 0.000
Cd: 0.000 0.000 0.500
Bi: 0.000 0.000 0.000
Cd: 0.500 0.000 0.000

Properties
Volume in A^3/atom: 37.58
DOS at the Fermi energy in states/eV/cell: 3.2

Arrangement two

Entry from the Alexandria database: a relaxed structure of Cd3BiW (PBE-GGA).

Unit cell a=5.297 b=5.297 c=5.297 alpha=90.00 beta=90.00 gamma=90.00
Atoms (fractional coordinates):
Cd: 0.000 0.000 0.500
W: 0.000 0.000 0.000
Cd: 0.000 0.500 0.000
Cd: 0.500 0.000 0.000
Bi: 0.500 0.500 0.500

Properties
Volume in A^3/atom: 29.73
DOS at the Fermi energy in states/eV/cell: 3.6

Structures ranked by computed energy, the most stable listed first: arrangement two, arrangement one.